{
  "formula": "Be2WSe",
  "functional": "GGA-PBE",
  "state": "relaxed",
  "lattice_angstrom": [[4.3410, 0.0002, 0.0005], [-2.2506, 4.4911, 0.0025], [-0.1602, 0.9645, 2.7837]],
  "species": ["Be", "W", "Se", "Be"],
  "frac_coords": [[0.0000, 0.0000, 0.0000], [0.5000, 0.5000, 0.0000], [0.0000, 0.5000, 0.5000], [0.5000, 0.0000, 0.5000]],
  "density_g_cm3": 8.59,
  "formation_energy_uncorrected_ev_per_fu": 2.4
}

{
  "formula": "TiV2In",
  "functional": "GGA-PBE",
  "state": "relaxed",
  "lattice_angstrom": [[4.2295, 0.0000, 0.0000], [0.0000, 4.2295, 0.0000], [2.1147, 2.1147, 8.9535]],
  "species": ["V", "In", "V", "In", "Ti", "V", "Ti", "V"],
  "frac_coords": [[0.3750, 0.6250, 0.2500], [0.0000, 0.0000, 0.0000], [0.8750, 0.6250, 0.7500], [0.7500, 0.2500, 0.5000], [0.5000, 0.5000, 0.0000], [0.3750, 0.6250, 0.7500], [0.2500, 0.7500, 0.5000], [0.3750, 0.1250, 0.2500]],
  "e_form_ev_per_atom": 0.89,
  "density_g_cm3": 5.49
}

{
  "formula": "PrGdCuPd",
  "functional": "GGA-PBE",
  "state": "relaxed",
  "lattice_angstrom": [[-2.7421, -1.7027, 3.9129], [2.0003, -3.3658, 3.2249], [1.1800, 1.4089, 4.7278]],
  "species": ["Pr", "Gd", "Pd", "Cu"],
  "frac_coords": [[0.2500, 0.2500, 0.2500], [0.7500, 0.7500, 0.7500], [0.0000, 0.0000, 0.0000], [0.5000, 0.5000, 0.5000]],
  "e_form_ev_per_atom": -0.47,
  "density_g_cm3": 8.42
}

{
  "formula": "InTe2I8",
  "functional": "GGA-PBE",
  "state": "relaxed",
  "lattice_angstrom": [[-5.1354, -1.6154, 6.1118], [-2.3581, -8.5115, -1.5829], [4.2414, -6.5072, 4.4921]],
  "species": ["I", "Te", "I", "In", "I", "I", "I", "I", "Te", "I", "I"],
  "frac_coords": [[0.2493, 0.3044, 0.3044], [0.5209, 0.8582, 0.8582], [0.2162, 0.2628, 0.8234], [0.0000, 0.0000, 0.0000], [0.7507, 0.6956, 0.6956], [0.7838, 0.1766, 0.7372], [0.2257, 0.7954, 0.7954], [0.7743, 0.2046, 0.2046], [0.4791, 0.1418, 0.1418], [0.7838, 0.7372, 0.1766], [0.2162, 0.8234, 0.2628]],
  "density_g_cm3": 4.13,
  "formation_energy_uncorrected_ev_per_fu": -1.2
}

{
  "formula": "NaCe3Se6",
  "functional": "GGA-PBE",
  "state": "relaxed",
  "lattice_angstrom": [[-4.2998, -5.7499, 1.0451], [3.2437, -0.9317, 8.2197], [-6.9176, 5.4152, 1.3325]],
  "species": ["Se", "Se", "Ce", "Se", "Se", "Se", "Se", "Se", "Ce", "Ce", "Ce", "Na", "Se", "Ce", "Na", "Se", "Ce", "Se", "Se", "Se"],
  "frac_coords": [[0.6750, 0.6298, 0.6958], [0.2198, 0.4504, 0.9095], [0.9811, 0.7117, 0.9227], [0.6176, 0.2331, 0.7669], [0.7474, 0.9919, 0.0081], [0.7198, 0.5496, 0.0905], [0.1750, 0.3702, 0.3042], [0.2198, 0.0905, 0.5496], [0.9811, 0.0773, 0.2883], [0.4811, 0.9227, 0.7117], [0.4811, 0.2883, 0.0773], [0.9920, 0.1732, 0.8268], [0.1750, 0.6958, 0.6298], [0.8767, 0.6032, 0.3968], [0.4920, 0.8268, 0.1732], [0.1176, 0.7669, 0.2331], [0.3767, 0.3968, 0.6032], [0.7198, 0.9095, 0.4504], [0.6750, 0.3042, 0.3702], [0.2474, 0.0081, 0.9919]],
  "density_g_cm3": 5.44,
  "formation_energy_uncorrected_ev_per_fu": -16.1
}

{
  "formula": "La2MnHg",
  "functional": "GGA-PBE",
  "state": "relaxed",
  "lattice_angstrom": [[-0.2878, 3.3359, 3.9632], [-4.5062, 2.3144, 1.1207], [-2.5854, -1.3032, 4.3053]],
  "species": ["La", "La", "Mn", "Hg"],
  "frac_coords": [[0.7500, 0.7500, 0.7500], [0.0000, 0.0000, 0.0000], [0.2500, 0.2500, 0.2500], [0.5000, 0.5000, 0.5000]],
  "e_form_ev_per_atom": 0.04,
  "density_g_cm3": 8.97
}